The following is a PBE+U calculation of a relaxed structure of CaNi3F, from Alexandria.

- Density: 4.7 g/cm³
- Space group: Pm-3m, No. 221
- DOS at the Fermi energy: 0.313 states/eV per atom
- Excess energy over the best structure of this formula in the dataset: 0.000 eV per atom
- VASP energy: -0.0804 hartree per atom

Cell: 4.361 4.361 4.361 Å, 90.00 90.00 90.00°
Fractional coordinates of all 5 atoms:
Ni: 0.000 0.000 0.500
Ni: 0.000 0.500 0.000
Ni: 0.500 0.000 0.000
F: 0.000 0.000 0.000
Ca: 0.500 0.500 0.500